Li2NiBi2, optimized geometry, DFT GGA-PBE; uncorrected energy = -3.636 eV per atom; D(E_F) = 4.64 states/eV per cell
1.0
6.955 0.000 0.000
0.000 6.955 0.000
0.000 0.000 4.623
Li Ni Bi
4 2 4
Direct
0.155 0.345 0.000 Li
0.345 0.845 0.000 Li
0.655 0.155 0.000 Li
0.845 0.655 0.000 Li
0.000 0.000 0.500 Ni
0.500 0.500 0.500 Ni
0.158 0.658 0.500 Bi
0.342 0.158 0.500 Bi
0.658 0.842 0.500 Bi
0.842 0.342 0.500 Bi